1.
VASP calculation (SCAN) on a PBEsol-optimized structure of BaCa2Tc.

Values from the calculation:
**Energy of formation**: 643 meV per atom
**Magnetization**: 1.4 μB/f.u.

Geometry as extended XYZ:
```
4
Lattice="3.6176 0.0000 0.0000 0.0000 3.6176 0.0000 0.0000 0.0000 9.7007" Properties=species:S:1:pos:R:3 pbc="T T T"
Ba 0.0000 0.0000 0.0000
Ca 0.0000 0.0000 6.1504
Ca 1.8088 1.8088 3.3107
Tc 1.8088 1.8088 7.7449
```

2.
VASP calculation (SCAN) on a PBEsol-optimized structure of BaCa2Tc.

Values from the calculation:
**Energy of formation**: 743 meV per atom
**Magnetization**: 0.1 μB/f.u.

Geometry as extended XYZ:
```
4
Lattice="1.8209 1.0513 11.0040 -1.8209 1.0513 11.0040 0.0000 -2.1026 11.0040" Properties=species:S:1:pos:R:3 pbc="T T T"
Ba 0.0000 0.0000 0.0000
Ca 0.0000 0.0000 7.5105
Ca 0.0000 0.0000 15.1387
Tc 0.0000 0.0000 24.1185
```

3.
VASP calculation (SCAN) on a PBEsol-optimized structure of BaCa2Tc.

Values from the calculation:
**Energy of formation**: 771 meV per atom
**Magnetization**: 1.3 μB/f.u.

Geometry as extended XYZ:
```
4
Lattice="4.8157 0.0000 0.0000 0.0000 4.8157 0.0000 0.0000 0.0000 4.9634" Properties=species:S:1:pos:R:3 pbc="T T T"
Ba 0.0000 0.0000 0.0000
Ca 0.0000 2.4078 2.4817
Ca 2.4078 0.0000 2.4817
Tc 2.4078 2.4078 0.0000
```